[1]
Computed, not measured: a geometry-optimized Ca2SnPbSe4 structure at the GGA-PBE level of DFT.

Lattice parameters (Å, degrees): 7.4113 4.2795 7.4838 90.00 109.29 90.00
Closest atoms and distances in Å follow each position.
Fractional positions:
Ca 0.0000 0.0000 0.0000  6 Se 2.98
Ca 0.5000 0.5000 0.0000  6 Se 3.01
Sn 0.0000 0.5000 0.5000  6 Se 3.07
Pb 0.5000 0.0000 0.5000  6 Se 3.10
Se 0.2430 0.5000 0.2379  3 Ca 2.98-3.01, 1 Sn 3.07, 2 Pb 3.10
Se 0.2504 0.0000 0.7600  3 Ca 2.98-3.01, 2 Sn 3.07, 1 Pb 3.10
Se 0.7496 0.0000 0.2400  3 Ca 2.98-3.01, 2 Sn 3.07, 1 Pb 3.10
Se 0.7570 0.5000 0.7621  3 Ca 2.98-3.01, 1 Sn 3.07, 2 Pb 3.10

Uncorrected formation energy, eV per atom: -1.232
Total DFT energy (no corrections), eV per atom: -4.44
Crystal system: monoclinic
Density, Mg/m³: 5.35

***

[2]
Computed, not measured: a geometry-optimized ZrCd2Au structure at the GGA-PBE level of DFT.

Lattice parameters (Å, degrees): 6.0285 6.0285 2.9549 101.46 101.46 121.38
Closest atoms and distances in Å follow each position.
Fractional positions:
Zr 0.0000 0.0000 0.0000  4 Au 2.95-3.22, 2 Zr 2.95, 4 Cd 3.08
Cd 0.0000 0.5000 0.5000  6 Cd 2.95-3.22, 2 Zr 3.08, 2 Au 3.08
Cd 0.5000 0.0000 0.5000  6 Cd 2.95-3.22, 2 Zr 3.08, 2 Au 3.08
Au 0.5000 0.5000 0.0000  4 Zr 2.95-3.22, 2 Au 2.95, 4 Cd 3.08

ΔE_f, eV per atom: -0.09
Total DFT energy (no corrections), eV per atom: -3.50
Crystal system: monoclinic
Density, Mg/m³: 10.17

***

[3]
Computed, not measured: a geometry-optimized ScCd2In structure at the GGA-PBE level of DFT.

Lattice parameters (Å, degrees): 4.4036 4.4036 4.5575 90.00 90.00 90.00
Closest atoms and distances in Å follow each position.
Fractional positions:
Sc 0.0000 0.0000 0.0000  4 In 3.11, 8 Cd 3.17
Cd 0.0000 0.5000 0.5000  4 Cd 3.11, 4 In 3.17, 4 Sc 3.17
Cd 0.5000 0.0000 0.5000  4 Cd 3.11, 4 In 3.17, 4 Sc 3.17
In 0.5000 0.5000 0.0000  4 Sc 3.11, 8 Cd 3.17

ΔE_f, eV per atom: -0.26
Total DFT energy (no corrections), eV per atom: -2.99
Crystal system: tetragonal
Density, Mg/m³: 7.23

***

[4]
Computed, not measured: a geometry-optimized KEr2Sn3Se6 structure at the GGA-PBE level of DFT.

Lattice parameters (Å, degrees): 9.4739 9.4739 9.2900 100.11 100.11 24.84
Closest atoms and distances in Å follow each position.
Fractional positions:
K 0.0000 0.0000 0.0000  6 Se 3.25-3.43
Er 0.3298 0.3298 0.6611  6 Se 2.75-2.96
Er 0.6702 0.6702 0.3389  6 Se 2.75-2.96
Sn 0.0000 0.0000 0.5000  6 Se 2.97-3.07
Sn 0.3379 0.3379 0.1713  1 Se 2.78
Sn 0.6621 0.6621 0.8287  1 Se 2.78
Se 0.1687 0.1687 0.5596  3 Er 2.89-2.96, 1 Sn 3.07
Se 0.1855 0.1855 0.1301  1 Sn 2.78, 2 Er 2.86
Se 0.4810 0.4810 0.7231  1 Er 2.75, 2 Sn 2.97
Se 0.5190 0.5190 0.2769  1 Er 2.75, 2 Sn 2.97
Se 0.8145 0.8145 0.8699  1 Sn 2.78, 2 Er 2.86
Se 0.8313 0.8313 0.4404  3 Er 2.89-2.96, 1 Sn 3.07

Uncorrected formation energy, eV per atom: -1.017
Total DFT energy (no corrections), eV per atom: -4.61
Crystal system: monoclinic
Density, Mg/m³: 5.80

***

[5]
Computed, not measured: a geometry-optimized AcPm4NdTm2 structure at the GGA-PBE level of DFT.

Lattice parameters (Å, degrees): 6.3341 6.3341 10.3860 114.26 114.26 48.10
Closest atoms and distances in Å follow each position.
Fractional positions:
Ac 0.0000 0.0000 0.0000  8 Pm 3.67-3.68, 4 Tm 3.70
Pm 0.2477 0.2477 0.8705  1 Nd 3.62, 4 Tm 3.63-3.74, 4 Pm 3.65-3.71, 3 Ac 3.67
Pm 0.2510 0.2510 0.3778  4 Tm 3.60-3.66, 4 Pm 3.63-3.65, 3 Nd 3.64-3.65, 1 Ac 3.68
Pm 0.7490 0.7490 0.6222  4 Tm 3.60-3.66, 4 Pm 3.63-3.65, 3 Nd 3.64-3.65, 1 Ac 3.68
Pm 0.7523 0.7523 0.1295  1 Nd 3.62, 4 Tm 3.63-3.74, 4 Pm 3.65-3.71, 3 Ac 3.67
Nd 0.0000 0.0000 0.5000  8 Pm 3.62-3.65, 4 Tm 3.62
Tm 0.4994 0.4994 0.2552  8 Pm 3.60-3.74, 2 Nd 3.62, 2 Ac 3.70
Tm 0.5006 0.5006 0.7448  8 Pm 3.60-3.74, 2 Nd 3.62, 2 Ac 3.70

ΔE_f, eV per atom: 0.04
Total DFT energy (no corrections), eV per atom: -4.57
Crystal system: monoclinic
Density, Mg/m³: 7.73

***

[6]
Computed, not measured: a geometry-optimized SrAc2Al2 structure at the GGA-PBE level of DFT.

Lattice parameters (Å, degrees): 8.9090 8.9090 4.8011 90.00 90.00 151.18
Closest atoms and distances in Å follow each position.
Fractional positions:
Sr 0.0000 0.0000 0.0000  2 Al 3.55
Ac 0.3490 0.6510 0.5000  6 Al 3.40-3.44
Ac 0.6510 0.3490 0.5000  6 Al 3.40-3.44
Al 0.2059 0.7941 0.0000  2 Al 2.69
Al 0.7941 0.2059 0.0000  2 Al 2.69

ΔE_f, eV per atom: -0.21
Total DFT energy (no corrections), eV per atom: -3.69
Crystal system: orthorhombic
Density, Mg/m³: 5.38

***

[7]
Computed, not measured: a geometry-optimized SnB2H structure at the GGA-PBE level of DFT.

Lattice parameters (Å, degrees): 6.8364 6.8364 6.8364 149.63 149.63 43.48
Closest atoms and distances in Å follow each position.
Fractional positions:
Sn 0.0000 0.0000 0.0000  4 B 2.38, 4 H 2.53
Sn 0.7500 0.2500 0.5000  4 B 2.38, 4 H 2.53
B 0.3026 0.6250 0.1776  2 H 1.84, 2 B 1.86
B 0.3750 0.5526 0.6776  2 H 1.84, 2 B 1.86
B 0.4474 0.1250 0.8224  2 H 1.84, 2 B 1.86
B 0.8750 0.6974 0.3224  2 H 1.84, 2 B 1.86
H 0.2500 0.7500 0.5000  4 B 1.84
H 0.5000 0.5000 0.0000  4 B 1.84

Total DFT energy (no corrections), eV per atom: -4.27
Offset from the most stable computed form, meV/atom: 0
Crystal system: tetragonal
Density, Mg/m³: 5.76

***

[8]
Computed, not measured: a geometry-optimized SrGaBi structure at the GGA-PBE level of DFT.

Lattice parameters (Å, degrees): 11.7408 11.7408 11.7408 21.78 21.78 21.78
Closest atoms and distances in Å follow each position.
Fractional positions:
Sr 0.0000 0.0000 0.0000  6 Ga 3.38-3.42, 3 Bi 3.69
Sr 0.1310 0.1310 0.1310  6 Ga 3.40-3.45, 3 Bi 3.57
Ga 0.3994 0.3994 0.3994  3 Ga 2.56
Ga 0.7307 0.7307 0.7307  3 Ga 2.56
Bi 0.2561 0.2561 0.2561  3 Bi 3.14
Bi 0.5368 0.5368 0.5368  3 Bi 3.14

ΔE_f, eV per atom: -0.37
Total DFT energy (no corrections), eV per atom: -3.23
Crystal system: trigonal
Density, Mg/m³: 6.23

***

[9]
Computed, not measured: a geometry-optimized AcTbAlGa structure at the GGA-PBE level of DFT.

Lattice parameters (Å, degrees): 5.3543 5.3543 5.3543 60.00 60.00 60.00
Closest atoms and distances in Å follow each position.
Fractional positions:
Ac 0.0000 0.0000 0.0000  4 Al 3.28, 4 Ga 3.28
Tb 0.5000 0.5000 0.5000  4 Al 3.28, 4 Ga 3.28
Al 0.7500 0.7500 0.7500  4 Tb 3.28, 4 Ac 3.28
Ga 0.2500 0.2500 0.2500  4 Tb 3.28, 4 Ac 3.28

ΔE_f, eV per atom: -0.36
Total DFT energy (no corrections), eV per atom: -4.24
Crystal system: cubic
Density, Mg/m³: 7.38

***

[10]
Computed, not measured: a geometry-optimized Mg4Pb3F12 structure at the GGA-PBE level of DFT.

Lattice parameters (Å, degrees): 7.0794 7.0794 7.0794 109.47 109.47 109.47
Closest atoms and distances in Å follow each position.
Fractional positions:
Mg 0.0000 0.0000 0.5000  6 F 2.04
Mg 0.0000 0.5000 0.0000  6 F 2.04
Mg 0.5000 0.0000 0.0000  6 F 2.04
Mg 0.5000 0.5000 0.5000  6 F 2.04
Pb 0.0000 0.5000 0.5000  12 F 2.84-2.89
Pb 0.5000 0.0000 0.5000  12 F 2.84-2.89
Pb 0.5000 0.5000 0.0000  12 F 2.84-2.89
F 0.0000 0.2547 0.7453  2 Mg 2.04
F 0.0000 0.7453 0.2547  2 Mg 2.04
F 0.2547 0.0000 0.7453  2 Mg 2.04
F 0.2547 0.2547 0.5094  2 Mg 2.04
F 0.2547 0.5094 0.2547  2 Mg 2.04
F 0.2547 0.7453 0.0000  2 Mg 2.04
F 0.4906 0.7453 0.7453  2 Mg 2.04
F 0.5094 0.2547 0.2547  2 Mg 2.04
F 0.7453 0.0000 0.2547  2 Mg 2.04
F 0.7453 0.2547 0.0000  2 Mg 2.04
F 0.7453 0.4906 0.7453  2 Mg 2.04
F 0.7453 0.7453 0.4906  2 Mg 2.04

Uncorrected formation energy, eV per atom: -2.782
Total DFT energy (no corrections), eV per atom: -4.88
Crystal system: cubic
Density, Mg/m³: 5.76

***

[11]
Computed, not measured: a geometry-optimized Nb2BTeIr structure at the GGA-PBE level of DFT.

Lattice parameters (Å, degrees): 4.5740 4.5740 4.0099 90.00 90.00 90.00
Closest atoms and distances in Å follow each position.
Fractional positions:
Nb 0.0000 0.5000 0.0000  2 B 2.29
Nb 0.5000 0.0000 0.0000  2 B 2.29
B 0.0000 0.0000 0.0000  2 Ir 2.00
Te 0.5000 0.5000 0.5000  8 Nb 3.04, 4 Ir 3.23
Ir 0.0000 0.0000 0.5000  2 B 2.00

Uncorrected formation energy, eV per atom: 0.037
Total DFT energy (no corrections), eV per atom: -7.73
Crystal system: tetragonal
Density, Mg/m³: 10.22

***

[12]
Computed, not measured: a geometry-optimized Pa2InBi4 structure at the GGA-PBE level of DFT.

Lattice parameters (Å, degrees): 9.2028 9.2028 9.2028 119.92 119.92 90.13
Closest atoms and distances in Å follow each position.
Fractional positions:
Pa 0.0000 0.0000 0.0000  6 Bi 3.14
Pa 0.0000 0.0000 0.5000  6 Bi 3.14
Pa 0.0000 0.5000 0.0000  6 Bi 3.14
Pa 0.5000 0.0000 0.5000  6 Bi 3.14
In 0.3750 0.6250 0.7500  4 Bi 3.03
In 0.6250 0.3750 0.2500  4 Bi 3.03
Bi 0.2219 0.2411 0.9808  1 In 3.03, 3 Pa 3.14
Bi 0.2397 0.7589 0.4808  1 In 3.03, 3 Pa 3.14
Bi 0.2411 0.2219 0.4808  1 In 3.03, 3 Pa 3.14
Bi 0.2411 0.7603 0.0192  1 In 3.03, 3 Pa 3.14
Bi 0.7589 0.2397 0.9808  1 In 3.03, 3 Pa 3.14
Bi 0.7589 0.7781 0.5192  1 In 3.03, 3 Pa 3.14
Bi 0.7603 0.2411 0.5192  1 In 3.03, 3 Pa 3.14
Bi 0.7781 0.7589 0.0192  1 In 3.03, 3 Pa 3.14

ΔE_f, eV per atom: 0.13
Total DFT energy (no corrections), eV per atom: -5.19
Offset from the most stable computed form, meV/atom: 267
Crystal system: tetragonal
Density, Mg/m³: 8.50

***

[13]
Computed, not measured: a geometry-optimized CsCaCd10 structure at the GGA-PBE level of DFT.

Lattice parameters (Å, degrees): 4.6740 6.5071 11.0395 90.00 90.00 90.00
Closest atoms and distances in Å follow each position.
Fractional positions:
Cs 0.0000 0.0000 0.0000  10 Cd 3.73-4.01
Ca 0.0000 0.5000 0.5000  18 Cd 3.58-4.01
Cd 0.0000 0.0000 0.3382  6 Cd 2.94-3.00
Cd 0.0000 0.0000 0.6618  6 Cd 2.94-3.00
Cd 0.0000 0.5000 0.1755  6 Cd 3.01-3.04
Cd 0.0000 0.5000 0.8245  6 Cd 3.01-3.04
Cd 0.5000 0.0000 0.5000  8 Cd 2.94-2.98
Cd 0.5000 0.2755 0.2845  6 Cd 2.92-3.01
Cd 0.5000 0.2755 0.7155  6 Cd 2.92-3.01
Cd 0.5000 0.5000 0.0000  4 Cd 3.04
Cd 0.5000 0.7245 0.2845  6 Cd 2.92-3.01
Cd 0.5000 0.7245 0.7155  6 Cd 2.92-3.01

ΔE_f, eV per atom: -0.09
Total DFT energy (no corrections), eV per atom: -1.09
Crystal system: orthorhombic
Density, Mg/m³: 6.42

***

[14]
Computed, not measured: a geometry-optimized CaAcDySc structure at the GGA-PBE level of DFT.

Lattice parameters (Å, degrees): 5.7991 5.7991 5.7991 60.00 60.00 60.00
Closest atoms and distances in Å follow each position.
Fractional positions:
Ca 0.0000 0.0000 0.0000  4 Ac 3.55, 4 Dy 3.55
Ac 0.2500 0.2500 0.2500  4 Ca 3.55, 4 Sc 3.55
Dy 0.7500 0.7500 0.7500  4 Sc 3.55, 4 Ca 3.55
Sc 0.5000 0.5000 0.5000  4 Ac 3.55, 4 Dy 3.55

ΔE_f, eV per atom: 0.15
Total DFT energy (no corrections), eV per atom: -4.11
Crystal system: cubic
Density, Mg/m³: 5.71

***

[15]
Computed, not measured: a geometry-optimized Na4NiSn3S8 structure at the GGA-PBE level of DFT.

Lattice parameters (Å, degrees): 7.7889 7.7889 8.0000 117.83 117.83 57.40
Closest atoms and distances in Å follow each position.
Fractional positions:
Na 0.0000 0.0000 0.0000  6 S 2.86-2.99
Na 0.0000 0.5000 0.0000  6 S 2.81-3.14
Na 0.5000 0.0000 0.0000  6 S 2.81-3.14
Na 0.5000 0.5000 0.0000  2 S 2.65
Ni 0.0000 0.0000 0.5000  4 S 2.26
Sn 0.0000 0.5000 0.5000  6 S 2.63-2.73
Sn 0.5000 0.0000 0.5000  6 S 2.63-2.73
Sn 0.5000 0.5000 0.5000  6 S 2.72-2.81
S 0.1935 0.7747 0.6880  1 Ni 2.26
S 0.2253 0.8065 0.3120  1 Ni 2.26
S 0.2572 0.2572 0.2683  3 Sn 2.67-2.81, 3 Na 2.81-2.99
S 0.2728 0.2728 0.7494  2 Sn 2.63, 3 Na 2.65-2.88
S 0.7272 0.7272 0.2506  2 Sn 2.63, 3 Na 2.65-2.88
S 0.7428 0.7428 0.7317  3 Sn 2.67-2.81, 3 Na 2.81-2.99
S 0.7747 0.1935 0.6880  1 Ni 2.26
S 0.8065 0.2253 0.3120  1 Ni 2.26

Uncorrected formation energy, eV per atom: -0.650
Total DFT energy (no corrections), eV per atom: -4.16
Crystal system: monoclinic
Density, Mg/m³: 3.66

***

[16]
Computed, not measured: a geometry-optimized Pa3VN6 structure at the GGA-PBE level of DFT.

Lattice parameters (Å, degrees): 7.2584 7.2584 5.4779 90.00 90.00 102.55
Closest atoms and distances in Å follow each position.
Fractional positions:
Pa 0.1070 0.8930 0.5000  7 N 2.32-2.43
Pa 0.1996 0.4140 0.4651  5 N 2.25-2.40
Pa 0.4140 0.1996 0.9651  5 N 2.25-2.40
Pa 0.5860 0.8004 0.4651  5 N 2.25-2.40
Pa 0.8004 0.5860 0.9651  5 N 2.25-2.40
Pa 0.8930 0.1070 0.0000  7 N 2.32-2.43
V 0.3066 0.6934 0.9247  4 N 1.84-1.92
V 0.6934 0.3066 0.4247  4 N 1.84-1.92
N 0.0847 0.6130 0.7522  1 V 1.85
N 0.1443 0.1702 0.7290  4 Pa 2.25-2.34
N 0.1702 0.1443 0.2290  4 Pa 2.25-2.34
N 0.2852 0.7148 0.2730  1 V 1.92
N 0.3870 0.9153 0.7522  1 V 1.85
N 0.4530 0.5470 0.7778  1 V 1.84
N 0.5470 0.4530 0.2778  1 V 1.84
N 0.6130 0.0847 0.2522  1 V 1.85
N 0.7148 0.2852 0.7730  1 V 1.92
N 0.8298 0.8557 0.7290  4 Pa 2.25-2.34
N 0.8557 0.8298 0.2290  4 Pa 2.25-2.34
N 0.9153 0.3870 0.2522  1 V 1.85

Uncorrected formation energy, eV per atom: -1.509
Total DFT energy (no corrections), eV per atom: -10.26
Crystal system: orthorhombic
Density, Mg/m³: 9.76

***

[17]
Computed, not measured: a geometry-optimized BeTcPd2 structure at the GGA-PBE level of DFT.

Lattice parameters (Å, degrees): 9.0995 9.0995 9.0995 156.75 156.75 33.12
Closest atoms and distances in Å follow each position.
Fractional positions:
Be 0.0000 0.0000 0.0000  4 Pd 2.53, 4 Tc 2.59
Be 0.7500 0.2500 0.5000  4 Pd 2.53, 4 Tc 2.59
Tc 0.2500 0.7500 0.5000  4 Pd 2.55, 4 Be 2.59
Tc 0.5000 0.5000 0.0000  4 Pd 2.55, 4 Be 2.59
Pd 0.1172 0.6250 0.9922  2 Be 2.53, 2 Tc 2.55, 4 Pd 2.55-2.63
Pd 0.3750 0.3672 0.4922  2 Be 2.53, 2 Tc 2.55, 4 Pd 2.55-2.63
Pd 0.6328 0.1250 0.0078  2 Be 2.53, 2 Tc 2.55, 4 Pd 2.55-2.63
Pd 0.8750 0.8828 0.5078  2 Be 2.53, 2 Tc 2.55, 4 Pd 2.55-2.63

ΔE_f, eV per atom: 0.39
Total DFT energy (no corrections), eV per atom: -5.73
Crystal system: tetragonal
Density, Mg/m³: 9.05

***

[18]
Computed, not measured: a geometry-optimized TaTlZn2 structure at the GGA-PBE level of DFT.

Lattice parameters (Å, degrees): 9.6196 9.6196 9.6196 18.39 18.39 18.39
Closest atoms and distances in Å follow each position.
Fractional positions:
Ta 0.0000 0.0000 0.0000  6 Zn 2.83, 6 Ta 3.07
Tl 0.5000 0.5000 0.5000  6 Tl 3.07, 6 Zn 3.09
Zn 0.2558 0.2558 0.2558  3 Ta 2.83, 6 Zn 3.07, 3 Tl 3.09
Zn 0.7442 0.7442 0.7442  3 Ta 2.83, 6 Zn 3.07, 3 Tl 3.09

ΔE_f, eV per atom: 0.30
Total DFT energy (no corrections), eV per atom: -3.89
Offset from the most stable computed form, meV/atom: 97
Crystal system: trigonal
Density, Mg/m³: 11.08

***

[19]
Computed, not measured: a geometry-optimized P3AuSe structure at the GGA-PBE level of DFT.

Lattice parameters (Å, degrees): 4.8174 4.8174 4.8174 90.00 90.00 90.00
Closest atoms and distances in Å follow each position.
Fractional positions:
P 0.0000 0.0000 0.5000  2 Au 2.41
P 0.0000 0.5000 0.0000  2 Au 2.41
P 0.5000 0.0000 0.0000  2 Au 2.41
Au 0.0000 0.0000 0.0000  6 P 2.41
Se 0.5000 0.5000 0.5000  12 P 3.41

Uncorrected formation energy, eV per atom: 1.228
Total DFT energy (no corrections), eV per atom: -3.37
Crystal system: cubic
Density, Mg/m³: 5.48

***

[20]
Computed, not measured: a geometry-optimized AcInGa2Pd5 structure at the GGA-PBE level of DFT.

Lattice parameters (Å, degrees): 4.8286 4.8286 7.5763 90.00 90.00 90.00
Closest atoms and distances in Å follow each position.
Fractional positions:
Ac 0.0000 0.0000 0.0000  12 Pd 3.22-3.41
In 0.0000 0.0000 0.5000  8 Pd 2.93
Ga 0.5000 0.5000 0.3355  5 Pd 2.45-2.54, 1 Ga 2.49
Ga 0.5000 0.5000 0.6645  5 Pd 2.45-2.54, 1 Ga 2.49
Pd 0.0000 0.5000 0.2810  2 Ga 2.45
Pd 0.0000 0.5000 0.7190  2 Ga 2.45
Pd 0.5000 0.0000 0.2810  2 Ga 2.45
Pd 0.5000 0.0000 0.7190  2 Ga 2.45
Pd 0.5000 0.5000 0.0000  2 Ga 2.54

ΔE_f, eV per atom: -0.51
Total DFT energy (no corrections), eV per atom: -4.83
Crystal system: tetragonal
Density, Mg/m³: 9.53